No. 1
This record from the Alexandria database describes an optimized crystal structure of BeFe2Cl. The functional is GGA-PBE.

Calculated values
symmetry	I-4m2, No. 119
electronic total energy	-5.008	eV per atom
Fermi-level density of states	2.68	states/eV per cell
raw formation energy	0.617	eV per atom
relative energy among the computed polymorphs	0.533	eV/atom

a = 4.7925 Å, b = 4.7925 Å, c = 4.7925 Å
α = 137.85°, β = 137.85°, γ = 61.13°
Closest atoms and distances in Å follow each position.
Sites, in units of the cell vectors:
Cl 0.7500 0.2500 0.5000  8 Fe 2.44-2.69, 4 Be 2.69
Fe 0.0000 0.0000 0.0000  4 Be 2.44, 4 Cl 2.69, 4 Fe 2.69
Fe 0.2500 0.7500 0.5000  4 Cl 2.44, 4 Fe 2.69, 4 Be 2.69
Be 0.5000 0.5000 0.0000  8 Fe 2.44-2.69, 4 Cl 2.69



No. 2
This record from the Alexandria database describes an optimized crystal structure of SrHgRhPb2. The functional is GGA-PBE.

Calculated values
symmetry	P4/mmm, No. 123
electronic total energy	-3.550	eV per atom
Fermi-level density of states	4.15	states/eV per cell
DFT formation energy	-0.200	eV/atom
relative energy among the computed polymorphs	0.000	eV/atom

a = 5.2688 Å, b = 5.2688 Å, c = 5.7497 Å
α = 90.00°, β = 90.00°, γ = 90.00°
Closest atoms and distances in Å follow each position.
Sites, in units of the cell vectors:
Pb 0.0000 0.5000 0.0000  2 Rh 2.63
Pb 0.5000 0.0000 0.0000  2 Rh 2.63
Sr 0.0000 0.0000 0.5000  2 Rh 2.87
Rh 0.0000 0.0000 0.0000  4 Pb 2.63, 2 Sr 2.87
Hg 0.5000 0.5000 0.5000  4 Sr 3.73, 8 Pb 3.90



No. 3
This record from the Alexandria database describes an optimized crystal structure of Nd3SnSeBr. The functional is GGA-PBE.

Calculated values
symmetry	P2_1/m, No. 11
electronic total energy	-5.152	eV per atom
Fermi-level density of states	9.35	states/eV per cell
raw formation energy	-1.241	eV per atom

a = 4.3919 Å, b = 8.2880 Å, c = 10.9764 Å
α = 115.03°, β = 90.00°, γ = 90.00°
Closest atoms and distances in Å follow each position.
Sites, in units of the cell vectors:
Sn 0.7500 0.7355 0.7475  7 Nd 3.22-3.48
Sn 0.2500 0.2645 0.2525  7 Nd 3.22-3.48
Nd 0.2500 0.0687 0.8895  2 Se 2.94
Nd 0.7500 0.4831 0.1683  3 Se 2.89-3.03, 1 Br 3.00, 2 Sn 3.22
Nd 0.2500 0.6923 0.5117  2 Br 3.06, 2 Sn 3.30
Nd 0.2500 0.5169 0.8317  3 Se 2.89-3.03, 1 Br 3.00, 2 Sn 3.22
Nd 0.7500 0.9313 0.1105  2 Se 2.94
Nd 0.7500 0.3077 0.4883  2 Br 3.06, 2 Sn 3.30
Se 0.7500 0.2980 0.8784  5 Nd 2.89-3.03
Se 0.2500 0.7020 0.1216  5 Nd 2.89-3.03
Br 0.7500 0.8461 0.3984  3 Nd 3.00-3.06
Br 0.2500 0.1539 0.6016  3 Nd 3.00-3.06



| no. | M_tot (μB/f.u.) |
| --- | --- |
| 1 | 4.99 |
| 2 | 0.00 |
| 3 | 0.48 |